*one*
! PBE-GGA ScOsCl3, relaxed; values from VASP
&SYSTEM
  ibrav = 0, nat = 5, ntyp = 3
/
ATOMIC_SPECIES
Cl 35.45 Cl.upf
Sc 44.96 Sc.upf
Os 190.23 Os.upf
CELL_PARAMETERS angstrom
5.035 0.000 0.000
0.000 5.035 0.000
0.000 0.000 5.035
ATOMIC_POSITIONS crystal
Cl 0.000 0.500 0.000
Cl 0.000 0.000 0.500
Cl 0.500 0.000 0.000
Sc 0.000 0.000 0.000
Os 0.500 0.500 0.500
! - Density of states at the Fermi level: 7.4 states/eV per cell

*two*
! PBE-GGA ScOsCl3, relaxed; values from VASP
&SYSTEM
  ibrav = 0, nat = 5, ntyp = 3
/
ATOMIC_SPECIES
Os 190.23 Os.upf
Cl 35.45 Cl.upf
Sc 44.96 Sc.upf
CELL_PARAMETERS angstrom
4.769 0.000 0.000
0.000 4.769 0.000
0.000 0.000 4.769
ATOMIC_POSITIONS crystal
Os 0.000 0.000 0.000
Cl 0.500 0.000 0.000
Cl 0.000 0.000 0.500
Cl 0.000 0.500 0.000
Sc 0.500 0.500 0.500
! - Density of states at the Fermi level: 6.4 states/eV per cell

Most favorable structure: *one*. The second most favorable one is 0.218 eV/atom above it.

*one*
! PBE-GGA SnOs2Cl, relaxed; values from VASP
&SYSTEM
  ibrav = 0, nat = 8, ntyp = 3
/
ATOMIC_SPECIES
Os 190.23 Os.upf
Cl 35.45 Cl.upf
Sn 118.71 Sn.upf
CELL_PARAMETERS angstrom
-4.355 0.905 -0.375
-0.589 -3.785 -2.293
-3.838 -5.255 5.315
ATOMIC_POSITIONS crystal
Os 0.223 0.625 0.250
Os 0.875 0.777 0.750
Os 0.375 0.473 0.750
Os 0.527 0.125 0.250
Cl 0.250 0.750 0.500
Cl 0.500 0.500 0.000
Sn 0.000 0.000 0.000
Sn 0.750 0.250 0.500
! - Density of states at the Fermi level: 7.2 states/eV per cell

*two*
! PBE-GGA SnOs2Cl, relaxed; values from VASP
&SYSTEM
  ibrav = 0, nat = 4, ntyp = 3
/
ATOMIC_SPECIES
Os 190.23 Os.upf
Sn 118.71 Sn.upf
Cl 35.45 Cl.upf
CELL_PARAMETERS angstrom
1.319 0.420 4.319
-1.788 -2.684 3.189
2.532 -3.235 1.923
ATOMIC_POSITIONS crystal
Os 0.250 0.250 0.250
Os 0.750 0.750 0.750
Sn 0.500 0.500 0.500
Cl 0.000 0.000 0.000
! - Density of states at the Fermi level: 4.5 states/eV per cell

Most favorable structure: *one*. The second most favorable one is 0.210 eV/atom above it.

*one*
! PBE-GGA SrOsCl6, relaxed; values from VASP
&SYSTEM
  ibrav = 0, nat = 8, ntyp = 3
/
ATOMIC_SPECIES
Os 190.23 Os.upf
Cl 35.45 Cl.upf
Sr 87.62 Sr.upf
CELL_PARAMETERS angstrom
-4.100 -5.283 -0.601
3.616 -0.309 -5.649
4.405 -1.340 5.412
ATOMIC_POSITIONS crystal
Os 0.000 0.000 0.000
Cl 0.971 0.290 0.265
Cl 0.710 0.029 0.735
Cl 0.739 0.739 0.043
Cl 0.290 0.971 0.265
Cl 0.029 0.710 0.735
Cl 0.261 0.261 0.957
Sr 0.000 0.000 0.500
! - Density of states at the Fermi level: 4.2 states/eV per cell

*two*
! PBE-GGA SrOsCl6, relaxed; values from VASP
&SYSTEM
  ibrav = 0, nat = 8, ntyp = 3
/
ATOMIC_SPECIES
Sr 87.62 Sr.upf
Cl 35.45 Cl.upf
Os 190.23 Os.upf
CELL_PARAMETERS angstrom
-1.202 4.917 -4.114
-4.289 4.636 1.623
2.558 6.366 1.687
ATOMIC_POSITIONS crystal
Sr 0.500 0.500 0.500
Cl 0.041 0.386 0.775
Cl 0.614 0.202 0.225
Cl 0.959 0.614 0.225
Cl 0.202 0.958 0.225
Cl 0.798 0.042 0.775
Cl 0.386 0.798 0.775
Os 0.000 0.000 0.000
! - Density of states at the Fermi level: 6.0 states/eV per cell

Most favorable structure: *one*. The second most favorable one is 0.019 eV/atom above it.